{
  "formula": "LiBi2MoN",
  "functional": "PBE",
  "state": "optimized geometry",
  "lattice_angstrom": [[5.206, 0.000, 0.000], [0.000, 5.206, 0.000], [0.000, 0.000, 3.938]],
  "species": ["Mo", "Li", "Bi", "Bi", "N"],
  "frac_coords": [[0.000, 0.000, 0.500], [0.500, 0.500, 0.500], [0.000, 0.500, 0.000], [0.500, 0.000, 0.000], [0.000, 0.000, 0.000]],
  "dft_energy_ev_per_cell": -27.34,
  "vol_a3_per_atom": 21.350,
  "n_ef_per_ev_cell": 2.63,
  "raw_formation_energy_ev_per_atom": 0.30
}